Entry 1:
PmTh4Hg5: optimized geometry, PBE.

```
PmTh4Hg5
1.0
3.8033 0.0000 0.0000
0.0000 3.8033 0.0000
0.0000 0.0000 19.3384
Pm Th Hg
1 4 5
Direct
0.0000 0.0000 0.0000 Pm
0.0000 0.0000 0.1993 Th
0.0000 0.0000 0.3996 Th
0.0000 0.0000 0.6004 Th
0.0000 0.0000 0.8007 Th
0.5000 0.5000 0.0959 Hg
0.5000 0.5000 0.2988 Hg
0.5000 0.5000 0.5000 Hg
0.5000 0.5000 0.7012 Hg
0.5000 0.5000 0.9041 Hg
```

Density of states at the Fermi level (states/eV/f.u.): 9.56
Density (g/cm3): 12.32
Crystal system: tetragonal
Spin magnetization (μB/f.u.): 0.11
E_form (eV/atom): -0.248



Entry 2:
Pm4ThHg: optimized geometry, PBE.

```
Pm4ThHg
1.0
4.5496 -7.1401 0.0000
4.5496 7.1401 0.0000
-2.3277 0.0000 5.9841
Pm Th Hg
8 2 2
Direct
0.0799 0.7065 0.9390 Pm
0.1899 0.3870 0.6425 Pm
0.2935 0.9201 0.5610 Pm
0.3870 0.1899 0.1425 Pm
0.6130 0.8101 0.8575 Pm
0.7065 0.0799 0.4390 Pm
0.8101 0.6130 0.3575 Pm
0.9201 0.2935 0.0610 Pm
0.3909 0.6091 0.2500 Th
0.6091 0.3909 0.7500 Th
0.0018 0.9982 0.2500 Hg
0.9982 0.0018 0.7500 Hg
```

Density of states at the Fermi level (states/eV/f.u.): 8.60
Density (g/cm3): 8.65
Crystal system: monoclinic
Spin magnetization (μB/f.u.): 0.00
E_form (eV/atom): -0.033



Entry 3:
PmThHg3: optimized geometry, PBE.

```
PmThHg3
1.0
-2.7345 3.2293 8.0167
2.7345 -3.2293 8.0167
2.7345 3.2293 -8.0167
Pm Th Hg
2 2 6
Direct
0.3532 0.1032 0.2500 Pm
0.6468 0.8968 0.7500 Pm
0.0574 0.3074 0.7500 Th
0.9426 0.6926 0.2500 Th
0.1517 0.9017 0.2500 Hg
0.2545 0.5045 0.7500 Hg
0.4524 0.7024 0.7500 Hg
0.5476 0.2976 0.2500 Hg
0.7455 0.4955 0.2500 Hg
0.8483 0.0983 0.7500 Hg
```

Density of states at the Fermi level (states/eV/f.u.): 3.10
Density (g/cm3): 11.48
Crystal system: orthorhombic
Relative energy among the computed polymorphs (meV/atom): 133
Spin magnetization (μB/f.u.): 0.00
E_form (eV/atom): -0.191



Entry 4:
PmTh3Hg6: optimized geometry, PBE.

```
PmTh3Hg6
1.0
9.9342 0.0000 0.0000
0.0000 5.0039 0.0000
-1.8483 0.0000 10.8148
Pm Th Hg
2 6 12
Direct
0.0564 0.2500 0.3815 Pm
0.9436 0.7500 0.6185 Pm
0.2372 0.2500 0.9943 Th
0.3526 0.7500 0.7884 Th
0.4688 0.2500 0.6044 Th
0.5312 0.7500 0.3956 Th
0.6474 0.2500 0.2116 Th
0.7628 0.7500 0.0057 Th
0.0506 0.7500 0.9017 Hg
0.1480 0.7500 0.1981 Hg
0.1489 0.2500 0.6816 Hg
0.2366 0.7500 0.4988 Hg
0.3404 0.2500 0.2911 Hg
0.4482 0.7500 0.0891 Hg
0.5518 0.2500 0.9109 Hg
0.6596 0.7500 0.7089 Hg
0.7634 0.2500 0.5012 Hg
0.8511 0.7500 0.3184 Hg
0.8520 0.2500 0.8019 Hg
0.9494 0.2500 0.0983 Hg
```

Density of states at the Fermi level (states/eV/f.u.): 9.74
Density (g/cm3): 12.63
Crystal system: monoclinic
Spin magnetization (μB/f.u.): 0.00
E_form (eV/atom): -0.253



Entry 5:
Pm5ThHg4: optimized geometry, PBE.

```
Pm5ThHg4
1.0
3.7497 0.0000 0.0000
0.0000 3.7497 0.0000
0.0000 0.0000 20.3508
Pm Th Hg
5 1 4
Direct
0.0000 0.0000 0.0000 Pm
0.0000 0.0000 0.1908 Pm
0.0000 0.0000 0.3845 Pm
0.0000 0.0000 0.6155 Pm
0.0000 0.0000 0.8092 Pm
0.5000 0.5000 0.5000 Th
0.5000 0.5000 0.0950 Hg
0.5000 0.5000 0.2883 Hg
0.5000 0.5000 0.7117 Hg
0.5000 0.5000 0.9050 Hg
```

Density of states at the Fermi level (states/eV/f.u.): 11.33
Density (g/cm3): 10.21
Crystal system: tetragonal
Spin magnetization (μB/f.u.): 1.06
E_form (eV/atom): -0.376



Entry 6:
PmTh2Hg6: optimized geometry, PBE.

```
PmTh2Hg6
1.0
8.7907 0.0000 0.0000
-4.3953 7.6129 0.0000
0.0000 0.0000 3.4142
Pm Th Hg
1 2 6
Direct
0.0000 0.0000 0.0000 Pm
0.3333 0.6667 0.0000 Th
0.6667 0.3333 0.0000 Th
0.0000 0.3319 0.5000 Hg
0.0000 0.6681 0.5000 Hg
0.3319 0.0000 0.5000 Hg
0.3319 0.3319 0.5000 Hg
0.6681 0.0000 0.5000 Hg
0.6681 0.6681 0.5000 Hg
```

Density of states at the Fermi level (states/eV/f.u.): 4.66
Density (g/cm3): 13.17
Crystal system: hexagonal
Spin magnetization (μB/f.u.): 0.00
E_form (eV/atom): -0.316



Entry 7:
Pm2ThHg6: optimized geometry, PBE.

```
Pm2ThHg6
1.0
8.7641 0.0000 0.0000
-4.3820 7.5899 0.0000
0.0000 0.0000 3.4280
Pm Th Hg
2 1 6
Direct
0.3333 0.6667 0.0000 Pm
0.6667 0.3333 0.0000 Pm
0.0000 0.0000 0.0000 Th
0.0000 0.3348 0.5000 Hg
0.0000 0.6652 0.5000 Hg
0.3348 0.0000 0.5000 Hg
0.3348 0.3348 0.5000 Hg
0.6652 0.0000 0.5000 Hg
0.6652 0.6652 0.5000 Hg
```

Density of states at the Fermi level (states/eV/f.u.): 6.21
Density (g/cm3): 12.57
Crystal system: hexagonal
Spin magnetization (μB/f.u.): 0.35
E_form (eV/atom): -0.374



Entry 8:
Pm2Th2Hg5: optimized geometry, PBE.

```
Pm2Th2Hg5
1.0
8.1556 -3.8873 0.0000
8.1556 3.8873 0.0000
0.0000 0.0000 8.3103
Pm Th Hg
4 4 10
Direct
0.1482 0.8518 0.8413 Pm
0.3518 0.6482 0.3413 Pm
0.6482 0.3518 0.6587 Pm
0.8518 0.1482 0.1587 Pm
0.1980 0.1980 0.5000 Th
0.3020 0.3020 0.0000 Th
0.6980 0.6980 0.0000 Th
0.8020 0.8020 0.5000 Th
0.0000 0.0000 0.5000 Hg
0.0044 0.7195 0.1525 Hg
0.2195 0.5044 0.6525 Hg
0.2805 0.9956 0.1525 Hg
0.4956 0.7805 0.6525 Hg
0.5000 0.5000 0.0000 Hg
0.5044 0.2195 0.3475 Hg
0.7195 0.0044 0.8475 Hg
0.7805 0.4956 0.3475 Hg
0.9956 0.2805 0.8475 Hg
```

Density of states at the Fermi level (states/eV/f.u.): 8.89
Density (g/cm3): 11.07
Crystal system: orthorhombic
Spin magnetization (μB/f.u.): 0.00
E_form (eV/atom): -0.195



Entry 9:
PmTh2Hg4: optimized geometry, PBE.

```
PmTh2Hg4
1.0
-2.6218 2.6218 7.5121
2.6218 -2.6218 7.5121
2.6218 2.6218 -7.5121
Pm Th Hg
1 2 4
Direct
0.0000 0.0000 0.0000 Pm
0.2591 0.2591 0.0000 Th
0.7409 0.7409 0.0000 Th
0.1134 0.6134 0.5000 Hg
0.3866 0.8866 0.5000 Hg
0.6134 0.1134 0.5000 Hg
0.8866 0.3866 0.5000 Hg
```

Density of states at the Fermi level (states/eV/f.u.): 6.99
Density (g/cm3): 11.35
Crystal system: tetragonal
Spin magnetization (μB/f.u.): 0.00
E_form (eV/atom): -0.186



Entry 10:
Pm4ThHg5: optimized geometry, PBE.

```
Pm4ThHg5
1.0
3.8057 0.0000 0.0000
0.0000 3.8057 0.0000
0.0000 0.0000 19.1447
Pm Th Hg
4 1 5
Direct
0.0000 0.0000 0.0996 Pm
0.0000 0.0000 0.2987 Pm
0.0000 0.0000 0.7013 Pm
0.0000 0.0000 0.9004 Pm
0.0000 0.0000 0.5000 Th
0.5000 0.5000 0.0000 Hg
0.5000 0.5000 0.1996 Hg
0.5000 0.5000 0.3970 Hg
0.5000 0.5000 0.6030 Hg
0.5000 0.5000 0.8004 Hg
```

Density of states at the Fermi level (states/eV/f.u.): 12.41
Density (g/cm3): 10.87
Crystal system: tetragonal
Spin magnetization (μB/f.u.): 1.76
E_form (eV/atom): -0.416



Entry 11:
PmTiZnHg: optimized geometry, PBE.

```
PmTiZnHg
1.0
0.0000 3.5408 3.5408
3.5408 0.0000 3.5408
3.5408 3.5408 0.0000
Pm Ti Zn Hg
1 1 1 1
Direct
0.0000 0.0000 0.0000 Pm
0.5000 0.5000 0.5000 Ti
0.2500 0.2500 0.2500 Zn
0.7500 0.7500 0.7500 Hg
```

Density of states at the Fermi level (states/eV/f.u.): 3.53
Density (g/cm3): 8.58
Crystal system: cubic
Spin magnetization (μB/f.u.): 1.77
E_form (eV/atom): -0.110



Entry 12:
PmTlHg2: optimized geometry, PBE.

```
PmTlHg2
1.0
3.9180 0.0000 0.0000
0.0000 3.9180 0.0000
0.0000 0.0000 7.1116
Pm Tl Hg
1 1 2
Direct
0.0000 0.0000 0.0000 Pm
0.0000 0.0000 0.5000 Tl
0.5000 0.5000 0.2434 Hg
0.5000 0.5000 0.7566 Hg
```

Density of states at the Fermi level (states/eV/f.u.): 2.76
Density (g/cm3): 11.42
Crystal system: tetragonal
Spin magnetization (μB/f.u.): 0.29
E_form (eV/atom): -0.277